Here is a relaxed LiYGa crystal from Alexandria. Energies are from PBE.

Computed properties:
**Energy of formation from the pure elements**: -376 meV/atom
**Size of the total moment**: 0.00 μB per formula unit

Cell and atoms, written as CIF:
```
data_LiYGa
_space_group_name_H-M_alt 'P -6 m 2'
_space_group_IT_number 187
_space_group_name_Hall 'P -6 2'
_cell_length_a 4.6610
_cell_length_b 4.6610
_cell_length_c 3.3834
_cell_angle_alpha 90.00
_cell_angle_beta 90.00
_cell_angle_gamma 120.00
loop_
_atom_site_label
_atom_site_fract_x
_atom_site_fract_y
_atom_site_fract_z
_atom_site_occupancy
Li1 0.0000 0.0000 0.0000 1
Y1 0.6667 0.3333 0.5000 1
Ga1 0.3333 0.6667 0.0000 1
```

---

Here is a relaxed AcLaSbO6 crystal from Alexandria. Energies are from PBE.

Computed properties:
**Formation energy (no corrections)**: -2.357 eV per atom
**Size of the total moment**: 1.03 μB per formula unit

Cell and atoms, written as CIF:
```
data_AcLaSbO6
_space_group_name_H-M_alt 'P -3 1 c'
_space_group_IT_number 163
_space_group_name_Hall '-P 3 2c'
_cell_length_a 6.0710
_cell_length_b 6.0710
_cell_length_c 9.2492
_cell_angle_alpha 90.00
_cell_angle_beta 90.00
_cell_angle_gamma 120.00
loop_
_atom_site_label
_atom_site_fract_x
_atom_site_fract_y
_atom_site_fract_z
_atom_site_occupancy
Ac1 0.3333 0.6667 0.2500 1
La1 0.0000 0.0000 0.0000 1
Sb1 0.3333 0.6667 0.7500 1
O1 0.0632 0.3776 0.6318 1
```

---

Here is a relaxed AcSmIrRu crystal from Alexandria. Energies are from PBE.

Computed properties:
**Energy of formation from the pure elements**: -239 meV/atom
**Size of the total moment**: 0.00 μB per formula unit

Cell and atoms, written as CIF:
```
data_AcSmIrRu
_space_group_name_H-M_alt 'F -4 3 m'
_space_group_IT_number 216
_space_group_name_Hall 'F -4 2 3'
_cell_length_a 7.190
_cell_length_b 7.190
_cell_length_c 7.190
_cell_angle_alpha 90.00
_cell_angle_beta 90.00
_cell_angle_gamma 90.00
loop_
_atom_site_label
_atom_site_fract_x
_atom_site_fract_y
_atom_site_fract_z
_atom_site_occupancy
Ac1 0.000 0.000 0.000 1
Sm1 0.000 0.000 0.500 1
Ir1 0.250 0.250 0.750 1
Ru1 0.250 0.250 0.250 1
```

---

Here is a relaxed Y2BiAu2 crystal from Alexandria. Energies are from PBE.

Computed properties:
**Energy of formation from the pure elements**: -561 meV/atom
**Size of the total moment**: 0.00 μB per formula unit

Cell and atoms, written as CIF:
```
data_Y2BiAu2
_space_group_name_H-M_alt 'I 4/m m m'
_space_group_IT_number 139
_space_group_name_Hall '-I 4 2'
_cell_length_a 5.117
_cell_length_b 5.117
_cell_length_c 10.710
_cell_angle_alpha 90.00
_cell_angle_beta 90.00
_cell_angle_gamma 90.00
loop_
_atom_site_label
_atom_site_fract_x
_atom_site_fract_y
_atom_site_fract_z
_atom_site_occupancy
Y1 0.000 0.500 0.250 1
Bi1 0.000 0.000 0.000 1
Au1 0.000 0.000 0.376 1
```

---

Here is a relaxed YCdSe2 crystal from Alexandria. Energies are from PBE.

Computed properties:
**Formation energy (no corrections)**: -1.199 eV per atom
**Size of the total moment**: 0.00 μB per formula unit

Cell and atoms, written as CIF:
```
data_YCdSe2
_space_group_name_H-M_alt 'A m m 2'
_space_group_IT_number 38
_space_group_name_Hall 'A 2 -2'
_cell_length_a 4.162
_cell_length_b 3.901
_cell_length_c 12.066
_cell_angle_alpha 90.00
_cell_angle_beta 90.00
_cell_angle_gamma 90.00
loop_
_atom_site_label
_atom_site_fract_x
_atom_site_fract_y
_atom_site_fract_z
_atom_site_occupancy
Y1 0.000 0.000 0.000 1
Cd1 0.500 0.000 0.791 1
Se1 0.000 0.000 0.315 1
Se2 0.500 0.000 0.567 1
```

---

Here is a relaxed ThCdInSn crystal from Alexandria. Energies are from PBE.

Computed properties:
**Energy of formation from the pure elements**: -366 meV/atom
**Size of the total moment**: 0.00 μB per formula unit

Cell and atoms, written as CIF:
```
data_ThCdInSn
_space_group_name_H-M_alt 'P m m m'
_space_group_IT_number 47
_space_group_name_Hall '-P 2 2'
_cell_length_a 4.581
_cell_length_b 4.698
_cell_length_c 4.901
_cell_angle_alpha 90.00
_cell_angle_beta 90.00
_cell_angle_gamma 90.00
loop_
_atom_site_label
_atom_site_fract_x
_atom_site_fract_y
_atom_site_fract_z
_atom_site_occupancy
Th1 0.000 0.000 0.000 1
Cd1 0.000 0.500 0.500 1
In1 0.500 0.000 0.500 1
Sn1 0.500 0.500 0.000 1
```

---

Here is a relaxed CsGeBi crystal from Alexandria. Energies are from PBE.

Computed properties:
**Energy of formation from the pure elements**: -180 meV/atom
**Size of the total moment**: 0.00 μB per formula unit

Cell and atoms, written as CIF:
```
data_CsGeBi
_space_group_name_H-M_alt 'P -1'
_space_group_IT_number 2
_space_group_name_Hall '-P 1'
_cell_length_a 4.766
_cell_length_b 7.011
_cell_length_c 8.381
_cell_angle_alpha 74.29
_cell_angle_beta 89.70
_cell_angle_gamma 89.99
loop_
_atom_site_label
_atom_site_fract_x
_atom_site_fract_y
_atom_site_fract_z
_atom_site_occupancy
Cs1 0.247 0.291 0.264 1
Ge1 0.249 0.824 0.032 1
Bi1 0.252 0.178 0.770 1
```

---

Here is a relaxed KZrIn crystal from Alexandria. Energies are from PBE.

Computed properties:
**Energy of formation from the pure elements**: 402 meV/atom
**Size of the total moment**: 0.00 μB per formula unit

Cell and atoms, written as CIF:
```
data_KZrIn
_space_group_name_H-M_alt 'P 63/m m c'
_space_group_IT_number 194
_space_group_name_Hall '-P 6c 2c'
_cell_length_a 5.5202
_cell_length_b 5.5202
_cell_length_c 6.2230
_cell_angle_alpha 90.00
_cell_angle_beta 90.00
_cell_angle_gamma 120.00
loop_
_atom_site_label
_atom_site_fract_x
_atom_site_fract_y
_atom_site_fract_z
_atom_site_occupancy
K1 0.0000 0.0000 0.0000 1
Zr1 0.3333 0.6667 0.2500 1
In1 0.3333 0.6667 0.7500 1
```